[1]
# FeIr2

A geometry-optimized FeIr2 structure (PBE, Alexandria via LeMat-Bulk).

Summary:
space-group type	R-3m
E	-8.6154	eV per atom
DOS at the Fermi energy	3.30	states/eV/f.u.

Cell and atoms, written as CIF:
```
data_FeIr2
_space_group_name_H-M_alt 'P 1'
_space_group_IT_number 1
_space_group_name_Hall 'P 1'
_cell_length_a 6.895
_cell_length_b 6.895
_cell_length_c 6.895
_cell_angle_alpha 22.60
_cell_angle_beta 22.60
_cell_angle_gamma 22.60
loop_
_atom_site_label
_atom_site_type_symbol
_atom_site_fract_x
_atom_site_fract_y
_atom_site_fract_z
_atom_site_occupancy
Fe1 Fe 0.000 0.000 0.000 1
Ir1 Ir 0.435 0.435 0.435 1
Ir2 Ir 0.565 0.565 0.565 1
```

[2]
# Zr2MnNb

A geometry-optimized Zr2MnNb structure (PBE, Alexandria via LeMat-Bulk).

Summary:
space-group type	P4/mmm
E	-9.0263	eV per atom
DOS at the Fermi energy	5.58	states/eV/f.u.
ΔE to the lowest computed polymorph	0.0	meV/atom

Cell and atoms, written as CIF:
```
data_Zr2MnNb
_space_group_name_H-M_alt 'P 1'
_space_group_IT_number 1
_space_group_name_Hall 'P 1'
_cell_length_a 3.214
_cell_length_b 3.214
_cell_length_c 7.142
_cell_angle_alpha 90.00
_cell_angle_beta 90.00
_cell_angle_gamma 90.00
loop_
_atom_site_label
_atom_site_type_symbol
_atom_site_fract_x
_atom_site_fract_y
_atom_site_fract_z
_atom_site_occupancy
Zr1 Zr 0.000 0.000 0.219 1
Zr2 Zr 0.000 0.000 0.781 1
Mn1 Mn 0.500 0.500 0.000 1
Nb1 Nb 0.500 0.500 0.500 1
```

[3]
# Al3OsSe

A geometry-optimized Al3OsSe structure (PBE, Alexandria via LeMat-Bulk).

Summary:
E_form (uncorrected)	0.757	eV per formula unit
space-group type	Pm-3m
E	-5.0370	eV per atom
DOS at the Fermi energy	2.89	states/eV/f.u.
ΔE to the lowest computed polymorph	0.0	meV/atom

Cell and atoms, written as CIF:
```
data_Al3OsSe
_space_group_name_H-M_alt 'P 1'
_space_group_IT_number 1
_space_group_name_Hall 'P 1'
_cell_length_a 4.767
_cell_length_b 4.767
_cell_length_c 4.767
_cell_angle_alpha 90.00
_cell_angle_beta 90.00
_cell_angle_gamma 90.00
loop_
_atom_site_label
_atom_site_type_symbol
_atom_site_fract_x
_atom_site_fract_y
_atom_site_fract_z
_atom_site_occupancy
Al1 Al 0.000 0.000 0.500 1
Al2 Al 0.000 0.500 0.000 1
Al3 Al 0.500 0.000 0.000 1
Os1 Os 0.000 0.000 0.000 1
Se1 Se 0.500 0.500 0.500 1
```

[4]
# SrPtW

A geometry-optimized SrPtW structure (PBE, Alexandria via LeMat-Bulk).

Summary:
space-group type	Cm
E	-6.7899	eV per atom
DOS at the Fermi energy	2.31	states/eV/f.u.
ΔE to the lowest computed polymorph	129.1	meV/atom

Cell and atoms, written as CIF:
```
data_SrPtW
_space_group_name_H-M_alt 'P 1'
_space_group_IT_number 1
_space_group_name_Hall 'P 1'
_cell_length_a 7.522
_cell_length_b 7.522
_cell_length_c 5.973
_cell_angle_alpha 105.51
_cell_angle_beta 105.51
_cell_angle_gamma 27.16
loop_
_atom_site_label
_atom_site_type_symbol
_atom_site_fract_x
_atom_site_fract_y
_atom_site_fract_z
_atom_site_occupancy
Sr1 Sr 0.000 0.000 0.000 1
Sr2 Sr 0.646 0.646 0.597 1
Pt1 Pt 0.335 0.335 0.687 1
Pt2 Pt 0.683 0.683 0.123 1
W1 W 0.311 0.311 0.108 1
W2 W 0.885 0.885 0.414 1
```

What spin magnetization values result from the calculations? In sequence: 0.843; 0.000; 0.000; 0.000 μB per atom.